! GGA-PBE NaSr, optimized geometry; values from VASP
&SYSTEM
  ibrav = 0, nat = 2, ntyp = 2
/
ATOMIC_SPECIES
Sr 87.62 Sr.upf
Na 22.99 Na.upf
CELL_PARAMETERS angstrom
-3.3985 3.1514 -2.3304
-4.9670 -1.4251 -0.4577
-3.6542 2.3964 2.7957
ATOMIC_POSITIONS crystal
Sr 0.5000 0.5000 0.5000
Na 0.0000 0.0000 0.0000
! Total magnetization ... 0.000 μB per atom
! Energy ... -1.284 eV per atom
! Mass density ... 1.861 g/cm³
! Space-group type ... Fm-3m

! GGA-PBE NaSr5, optimized geometry; values from VASP
&SYSTEM
  ibrav = 0, nat = 6, ntyp = 2
/
ATOMIC_SPECIES
Na 22.99 Na.upf
Sr 87.62 Sr.upf
CELL_PARAMETERS angstrom
-1.3817 -3.5241 2.5600
0.5678 -4.1002 -5.3380
9.3051 0.1126 5.1772
ATOMIC_POSITIONS crystal
Na 0.0000 0.0000 0.0000
Sr 0.5000 0.1542 0.3084
Sr 0.5000 0.5000 0.0000
Sr 0.5000 0.8458 0.6916
Sr 0.0000 0.3249 0.6498
Sr 0.0000 0.6751 0.3502
! Total magnetization ... 0.000 μB per atom
! Energy ... -1.608 eV per atom
! Mass density ... 2.456 g/cm³
! Space-group type ... Cmmm